Record 1
Density functional theory data (GGA-PBE) for an optimized crystal structure of Ce2Si2Ge.

Properties
formation energy (no corrections) = -3.06 eV per formula unit
distance to the lowest polymorph of the same formula = 0.004 eV per atom
DOS at the Fermi energy = 29.79 states/eV per cell
space-group type = P4/mbm (127)

```
Ce2Si2Ge
1.0
-0.622 2.142 -6.647
6.426 -2.437 -1.387
-3.417 -7.769 -2.183
Ce Si Ge
8 8 4
Direct
0.679 0.821 0.500
0.321 0.179 0.500
0.821 0.321 0.000
0.179 0.679 0.000
0.821 0.321 0.500
0.179 0.679 0.500
0.321 0.179 0.000
0.679 0.821 0.000
0.381 0.881 0.250
0.619 0.119 0.250
0.119 0.381 0.750
0.881 0.619 0.750
0.881 0.619 0.250
0.119 0.381 0.250
0.381 0.881 0.750
0.619 0.119 0.750
0.500 0.500 0.250
0.000 0.000 0.750
0.500 0.500 0.750
0.000 0.000 0.250
```

---

Record 2
Density functional theory data (GGA-PBE) for an optimized crystal structure of NiRuBr2.

Properties
formation energy (no corrections) = 0.80 eV per formula unit
distance to the lowest polymorph of the same formula = 0.028 eV per atom
DOS at the Fermi energy = 6.84 states/eV per cell
space-group type = R3m (160)

```
NiRuBr2
1.0
-5.442 5.688 -0.216
-6.504 3.358 -2.904
-7.391 2.644 0.629
Br Ni Ru
2 1 1
Direct
0.040 0.040 0.040
0.208 0.208 0.208
0.485 0.485 0.485
0.768 0.768 0.768
```

---

Record 3
Density functional theory data (GGA-PBE) for an optimized crystal structure of K4HF3.

Properties
DOS at the Fermi energy = 0.00 states/eV per cell
uncorrected energy = -3.769 eV per atom
space-group type = Pm-3m (221)

```
K4HF3
1.0
-4.347 -3.297 -0.190
3.207 -4.289 1.057
-0.787 0.730 5.353
K H F
4 1 3
Direct
0.500 0.000 0.000
0.000 0.500 0.000
0.000 0.000 0.500
0.500 0.500 0.500
0.000 0.000 0.000
0.000 0.500 0.500
0.500 0.000 0.500
0.500 0.500 0.000
```

---

Record 4
Density functional theory data (GGA-PBE) for an optimized crystal structure of LiHo2Au.

Properties
DOS at the Fermi energy = 3.48 states/eV per cell
uncorrected energy = -4.011 eV per atom
space-group type = P4/mmm (123)

```
LiHo2Au
1.0
3.661 0.000 0.000
0.000 5.023 0.000
0.000 0.000 5.023
Au Ho Li
1 2 1
Direct
0.500 0.000 0.000
0.000 0.000 0.500
0.000 0.500 0.000
0.500 0.500 0.500
```

---

Record 5
Density functional theory data (GGA-PBE) for an optimized crystal structure of CePr4Nd3S8.

Properties
formation energy (no corrections) = -32.44 eV per formula unit
DOS at the Fermi energy = 11.29 states/eV per cell
space-group type = R-3m (166)

```
CePr4Nd3S8
1.0
8.163 0.000 0.000
0.000 8.165 -0.004
-4.082 -4.077 5.775
Ce Pr Nd S
1 4 3 8
Direct
0.000 0.500 0.000
0.500 0.000 0.000
0.500 0.000 0.500
0.000 0.000 0.000
0.000 0.000 0.500
0.500 0.500 0.000
0.500 0.500 0.500
0.000 0.500 0.500
0.247 0.745 0.998
0.247 0.745 0.494
0.251 0.253 0.502
0.751 0.745 0.998
0.249 0.255 0.002
0.749 0.747 0.498
0.753 0.255 0.506
0.753 0.255 0.002
```

---

Record 6
Density functional theory data (GGA-PBE) for an optimized crystal structure of Mn2BiPt9.

Properties
DOS at the Fermi energy = 10.98 states/eV per cell
uncorrected energy = -6.638 eV per atom
space-group type = P4/mmm (123)

```
Mn2BiPt9
1.0
3.997 0.000 0.000
0.000 3.997 0.000
0.000 0.000 12.153
Mn Bi Pt
2 1 9
Direct
0.000 0.000 0.343
0.000 0.000 0.657
0.000 0.000 0.000
0.500 0.500 0.000
0.500 0.500 0.341
0.500 0.500 0.659
0.500 0.000 0.184
0.500 0.000 0.500
0.500 0.000 0.816
0.000 0.500 0.184
0.000 0.500 0.500
0.000 0.500 0.816
```

---

Record 7
Density functional theory data (GGA-PBE) for an optimized crystal structure of Nd2CdI.

Properties
formation energy (no corrections) = -2.06 eV per formula unit
distance to the lowest polymorph of the same formula = 0.029 eV per atom
DOS at the Fermi energy = 4.71 states/eV per cell
space-group type = P4/mmm (123)

```
Nd2CdI
1.0
3.750 0.000 0.000
0.000 3.750 0.000
0.000 0.000 8.542
I Nd Cd
1 2 1
Direct
0.500 0.500 0.500
0.000 0.000 0.765
0.000 0.000 0.235
0.500 0.500 0.000
```

---

Record 8
Density functional theory data (GGA-PBE) for an optimized crystal structure of SrLaMn2Cu.

Properties
distance to the lowest polymorph of the same formula = 0.291 eV per atom
DOS at the Fermi energy = 7.78 states/eV per cell
space-group type = P4/mmm (123)

```
SrLaMn2Cu
1.0
5.274 0.000 0.000
0.000 5.142 0.000
0.000 0.000 5.274
Sr Mn Cu La
1 2 1 1
Direct
0.000 0.000 0.000
0.000 0.000 0.500
0.500 0.000 0.000
0.000 0.500 0.000
0.500 0.500 0.500
```

---

Record 9
Density functional theory data (GGA-PBE) for an optimized crystal structure of GePBr.

Properties
formation energy (no corrections) = 0.61 eV per formula unit
distance to the lowest polymorph of the same formula = 0.404 eV per atom
space-group type = P1 (1)

```
GePBr
1.0
-2.601 2.455 -0.876
-1.249 -2.510 4.387
2.911 3.775 2.592
Ge P Br
1 1 1
Direct
0.922 0.747 0.501
0.273 0.451 0.448
0.087 0.104 0.117
```

---

Record 10
Density functional theory data (GGA-PBE) for an optimized crystal structure of Tb3Cu2Au4.

Properties
DOS at the Fermi energy = 4.86 states/eV per cell
uncorrected energy = -4.553 eV per atom
space-group type = C2/m (12)

```
Tb3Cu2Au4
1.0
0.583 4.495 0.742
-0.063 1.436 5.569
7.920 0.923 2.401
Tb Cu Au
3 2 4
Direct
0.334 0.664 0.667
0.000 0.000 0.000
0.666 0.336 0.333
0.390 0.934 0.285
0.610 0.066 0.715
0.286 0.364 0.064
0.714 0.636 0.936
0.062 0.260 0.616
0.938 0.740 0.384
```

---

Record 11
Density functional theory data (GGA-PBE) for an optimized crystal structure of LaHf2Pd2.

Properties
distance to the lowest polymorph of the same formula = 0.230 eV per atom
DOS at the Fermi energy = 5.82 states/eV per cell
space-group type = I4/mmm (139)

```
LaHf2Pd2
1.0
-1.991 -4.168 -1.486
-0.279 -1.508 4.604
-5.855 -0.728 1.964
Hf Pd La
2 2 1
Direct
0.355 0.355 0.291
0.645 0.645 0.709
0.750 0.250 0.500
0.250 0.750 0.500
0.000 0.000 0.000
```

---

Record 12
Density functional theory data (GGA-PBE) for an optimized crystal structure of LiIn2Se4.

Properties
formation energy (no corrections) = -3.79 eV per formula unit
DOS at the Fermi energy = 4.90 states/eV per cell
space-group type = C2/m (12)

```
LiIn2Se4
1.0
3.877 0.000 0.000
0.000 6.717 -0.218
-1.938 -3.462 6.781
Li In Se
1 2 4
Direct
0.000 0.000 0.000
0.736 0.743 0.471
0.264 0.257 0.529
0.879 0.203 0.757
0.121 0.797 0.243
0.634 0.279 0.268
0.366 0.721 0.732
```